[1]
ScBeCd, relaxed, DFT GGA-PBE; symmetry = No. 44; theoretical density = 5108 kg/m3; V = 54.1 Å³ per cell; ΔH_f (0 K) = 0.216 eV/atom
1.0
-1.501 2.150 4.191
1.501 -2.150 4.191
1.501 2.150 -4.191
Sc Be Cd
1 1 1
Cartesian
0.000 0.000 0.000
0.000 0.000 5.498
0.000 0.000 2.777

***

[2]
PmZrSn2, relaxed, DFT GGA-PBE; symmetry = No. 123; theoretical density = 7684 kg/m3; V = 102.4 Å³ per cell; ΔH_f (0 K) = -0.498 eV/atom
1.0
3.914 0.000 0.000
0.000 3.914 0.000
0.000 0.000 6.682
Pm Zr Sn
1 1 2
Cartesian
0.000 0.000 0.000
0.000 0.000 3.341
1.957 1.957 1.864
1.957 1.957 4.818

***

[3]
LiCdRe2, relaxed, DFT GGA-PBE; symmetry = No. 119; theoretical density = 13356 kg/m3; V = 61.1 Å³ per cell; ΔH_f (0 K) = 0.371 eV/atom
1.0
-2.208 2.208 3.136
2.208 -2.208 3.136
2.208 2.208 -3.136
Li Cd Re
1 1 2
Cartesian
0.000 0.000 0.000
2.208 0.000 1.568
0.000 0.000 3.136
0.000 2.208 1.568

***

[4]
CsSc2Al, relaxed, DFT GGA-PBE; symmetry = No. 166; theoretical density = 3351 kg/m3; V = 123.8 Å³ per cell; ΔH_f (0 K) = 0.772 eV/atom
1.0
1.679 0.969 12.672
-1.679 0.969 12.672
0.000 -1.939 12.672
Cs Sc Al
1 2 1
Cartesian
0.000 0.000 0.000
0.000 0.000 16.141
0.000 0.000 21.876
0.000 0.000 19.008

***

[5]
SrTcO3, relaxed, DFT GGA-PBE; symmetry = No. 12; theoretical density = 5439 kg/m3; V = 142.6 Å³ per cell; raw formation energy = -1.85 eV/atom
1.0
5.615 -1.926 0.000
5.615 1.926 0.000
-0.849 0.000 6.594
Sr Tc O
2 2 6
Cartesian
1.126 0.000 2.413
9.255 0.000 4.181
4.077 0.000 0.576
6.303 0.000 6.018
1.206 0.000 6.341
3.522 0.000 2.497
4.398 0.000 5.504
5.982 0.000 1.090
6.858 0.000 4.097
9.174 0.000 0.253

***

[6]
LiHg2Sb2, relaxed, DFT GGA-PBE; symmetry = No. 139; theoretical density = 7473 kg/m3; V = 144.8 Å³ per cell; raw formation energy = 0.04 eV/atom
1.0
-2.160 2.160 7.758
2.160 -2.160 7.758
2.160 2.160 -7.758
Li Hg Sb
1 2 2
Cartesian
0.000 0.000 0.000
0.000 0.000 6.306
0.000 0.000 9.211
2.160 0.000 3.879
0.000 2.160 3.879

***

[7]
LaPr2Zn2Cu2, relaxed, DFT GGA-PBE; symmetry = No. 166; theoretical density = 6673 kg/m3; V = 168.9 Å³ per cell; ΔH_f (0 K) = -0.211 eV/atom
1.0
2.250 1.299 9.627
-2.250 1.299 9.627
0.000 -2.598 9.627
La Pr Zn Cu
1 2 2 2
Cartesian
0.000 0.000 0.000
0.000 0.000 3.531
0.000 0.000 25.351
0.000 0.000 7.659
0.000 0.000 21.223
0.000 0.000 11.528
0.000 0.000 17.354

***

[8]
Re2OsAu, relaxed, DFT GGA-PBE; symmetry = No. 99; theoretical density = 20204 kg/m3; V = 62.4 Å³ per cell; ΔH_f (0 K) = 0.316 eV/atom
1.0
2.788 0.000 0.000
0.000 2.788 0.000
0.000 0.000 8.029
Re Os Au
2 1 1
Cartesian
0.000 0.000 0.000
1.394 1.394 1.978
1.394 1.394 6.257
0.000 0.000 4.083

***

[9]
PaReNi2, relaxed, DFT GGA-PBE; symmetry = No. 166; theoretical density = 13117 kg/m3; V = 67.7 Å³ per cell; ΔH_f (0 K) = -0.017 eV/atom
1.0
2.121 1.225 4.344
-2.121 1.225 4.344
0.000 -2.449 4.344
Pa Re Ni
1 1 2
Cartesian
0.000 0.000 0.000
0.000 0.000 6.515
0.000 0.000 2.650
0.000 0.000 10.380

***

[10]
BeRhSe2, relaxed, DFT GGA-PBE; symmetry = No. 166; theoretical density = 5291 kg/m3; V = 84.7 Å³ per cell; raw formation energy = -0.09 eV/atom
1.0
1.918 1.108 6.642
-1.918 1.108 6.642
0.000 -2.215 6.642
Be Rh Se
1 1 2
Cartesian
0.000 0.000 0.000
0.000 0.000 9.963
0.000 0.000 2.072
0.000 0.000 17.855

***

[11]
NdCuH3, relaxed, DFT GGA-PBE; symmetry = No. 40; theoretical density = 5684 kg/m3; V = 123.2 Å³ per cell; total DFT energy (no corrections) = -40.962 eV for the cell shown
1.0
9.078 0.000 0.000
0.000 3.372 2.012
0.000 -3.372 2.012
Nd Cu H
2 2 6
Cartesian
0.000 0.000 0.000
4.539 0.000 0.000
2.270 1.093 1.667
6.809 -1.093 1.667
0.651 1.111 2.012
2.270 -0.057 0.401
3.888 1.111 2.012
5.190 -1.111 2.012
6.809 0.057 0.401
8.427 -1.111 2.012

***

[12]
ZnCrMo2, relaxed, DFT GGA-PBE; symmetry = No. 166; theoretical density = 8685 kg/m3; V = 59.1 Å³ per cell; ΔH_f (0 K) = 0.340 eV/atom
1.0
1.367 0.789 9.140
-1.367 0.789 9.140
0.000 -1.578 9.140
Zn Cr Mo
1 1 2
Cartesian
0.000 0.000 0.000
0.000 0.000 13.710
0.000 0.000 6.775
0.000 0.000 20.645